[1]
An optimized crystal structure of PmCu6Pt2, computed with PBE-GGA.

Computed properties:
ΔE_f in kcal/mol of atoms: 3.09
Total magnetization in μB/atom: 0.00
Space group: No. 191

Cell: 5.126 5.126 6.826 Å, 90.00 90.00 120.00°
Fractional coordinates of all 9 atoms:
Pm: 0.000 0.000 0.000
Cu: 0.000 0.500 0.193
Cu: 0.000 0.500 0.807
Cu: 0.500 0.000 0.193
Cu: 0.500 0.000 0.807
Cu: 0.500 0.500 0.193
Cu: 0.500 0.500 0.807
Pt: 0.333 0.667 0.500
Pt: 0.667 0.333 0.500

---

[2]
An optimized crystal structure of PmCu2Pt, computed with PBE-GGA.

Computed properties:
Relative energy among the computed polymorphs in meV/atom: 134.2
ΔE_f in kcal/mol of atoms: -8.34
Total magnetization in μB/atom: 0.00
Space group: No. 225

Cell: 4.623 4.623 4.623 Å, 60.00 60.00 60.00°
Fractional coordinates of all 4 atoms:
Pm: 0.000 0.000 0.000
Cu: 0.250 0.250 0.250
Cu: 0.750 0.750 0.750
Pt: 0.500 0.500 0.500

---

> What is the total magnetization in the second record?

0.00 μB/atom